The following is a DFT calculation (PBE) of an optimized crystal structure of NaInAs2Br.

ΔE to the lowest computed polymorph ... 0.0 meV/atom
Formation energy without anion corrections ... 0.132 eV per atom
Uncorrected energy ... -2.874 eV/atom

Lattice parameters (Å, degrees): 5.2351 5.2351 6.0603 90.00 90.00 90.00
With the nearest neighbours (Å) after each atom.
Sites, in units of the cell vectors:
As  0.5000  0.0000  0.0000  2 In 2.62
As  0.0000  0.5000  0.0000  2 In 2.62
In  0.0000  0.0000  0.0000  4 As 2.62
Na  0.5000  0.5000  0.5000  4 Br 3.70, 8 As 4.00
Br  0.0000  0.0000  0.5000  2 In 3.03



The following is a DFT calculation (PBE) of an optimized crystal structure of Ac2LaBr2N2.

Formation energy without anion corrections ... -1.238 eV per atom
Uncorrected energy ... -5.973 eV/atom

Lattice parameters (Å, degrees): 4.7710 4.7710 8.8917 105.56 105.56 90.00
With the nearest neighbours (Å) after each atom.
Sites, in units of the cell vectors:
Ac  0.4004  0.4004  0.8008  4 N 2.89
Ac  0.5996  0.5996  0.1992  4 N 2.89
Br  0.1923  0.1923  0.3846  1 La 3.16, 1 Ac 3.42
Br  0.8077  0.8077  0.6154  1 La 3.16, 1 Ac 3.42
N  0.0000  0.5000  0.0000  2 La 2.39
N  0.5000  0.0000  0.0000  2 La 2.39
La  0.0000  0.0000  0.0000  4 N 2.39



The following is a DFT calculation (PBE) of an optimized crystal structure of Ca4Ag3Ge.

Uncorrected energy ... -3.057 eV/atom

Lattice parameters (Å, degrees): 5.1998 5.1998 9.0830 73.37 73.37 60.00
With the nearest neighbours (Å) after each atom.
Sites, in units of the cell vectors:
Ca  0.1221  0.1221  0.6336  7 Ag 3.13-3.21, 1 Ge 3.14
Ca  0.8779  0.8779  0.3664  7 Ag 3.13-3.21, 1 Ge 3.14
Ca  0.6275  0.6275  0.1174  3 Ge 3.17, 5 Ag 3.25-3.28
Ca  0.3725  0.3725  0.8826  3 Ge 3.17, 5 Ag 3.25-3.28
Ag  0.7539  0.7539  0.7384  8 Ca 3.13-3.25
Ag  0.2461  0.2461  0.2616  8 Ca 3.13-3.25
Ag  0.5000  0.5000  0.5000  8 Ca 3.21-3.28
Ge  0.0000  0.0000  0.0000  8 Ca 3.14-3.17



The following is a DFT calculation (PBE) of an optimized crystal structure of Tm5Si2Sb2.

Formation energy without anion corrections ... -0.896 eV per atom
Uncorrected energy ... -5.502 eV/atom

Lattice parameters (Å, degrees): 8.4065 8.4065 7.7611 90.00 90.00 125.20
With the nearest neighbours (Å) after each atom.
Sites, in units of the cell vectors:
Si  0.3671  0.3671  0.1320  8 Tm 2.90-3.04, 1 Si 2.90
Si  0.8671  0.8671  0.3680  8 Tm 2.90-3.04, 1 Si 2.90
Si  0.1329  0.1329  0.6320  8 Tm 2.90-3.04, 1 Si 2.90
Si  0.6329  0.6329  0.8680  8 Tm 2.90-3.04, 1 Si 2.90
Sb  0.2059  0.7941  0.0000  7 Tm 3.07-3.14
Sb  0.7941  0.2059  0.0000  7 Tm 3.07-3.14
Sb  0.2941  0.7059  0.5000  7 Tm 3.07-3.14
Sb  0.7059  0.2941  0.5000  7 Tm 3.07-3.14
Tm  0.9596  0.7095  0.6655  3 Si 2.90-2.98, 3 Sb 3.11-3.14
Tm  0.5404  0.7905  0.1655  3 Si 2.90-2.98, 3 Sb 3.11-3.14
Tm  0.0404  0.2905  0.3345  3 Si 2.90-2.98, 3 Sb 3.11-3.14
Tm  0.0000  0.0000  0.0000  4 Si 3.02-3.04, 2 Sb 3.07
Tm  0.7905  0.5404  0.1655  3 Si 2.90-2.98, 3 Sb 3.11-3.14
Tm  0.4596  0.2095  0.8345  3 Si 2.90-2.98, 3 Sb 3.11-3.14
Tm  0.5000  0.5000  0.5000  4 Si 3.02-3.04, 2 Sb 3.07
Tm  0.7095  0.9596  0.6655  3 Si 2.90-2.98, 3 Sb 3.11-3.14
Tm  0.2095  0.4596  0.8345  3 Si 2.90-2.98, 3 Sb 3.11-3.14
Tm  0.2905  0.0404  0.3345  3 Si 2.90-2.98, 3 Sb 3.11-3.14



The following is a DFT calculation (PBE) of an optimized crystal structure of MgPbN2.

Formation energy without anion corrections ... 0.126 eV per atom
Uncorrected energy ... -5.362 eV/atom

Lattice parameters (Å, degrees): 4.9851 4.9851 6.1445 66.07 66.07 90.00
With the nearest neighbours (Å) after each atom.
Sites, in units of the cell vectors:
N  0.6073  0.1250  0.2500  2 Mg 2.12, 2 Pb 2.22
N  0.3750  0.3927  0.7500  2 Mg 2.12, 2 Pb 2.22
N  0.8750  0.8573  0.7500  2 Mg 2.12, 2 Pb 2.22
N  0.1427  0.6250  0.2500  2 Mg 2.12, 2 Pb 2.22
Mg  0.5000  0.5000  0.0000  4 N 2.12
Mg  0.2500  0.7500  0.5000  4 N 2.12
Pb  0.7500  0.2500  0.5000  4 N 2.22
Pb  0.0000  0.0000  0.0000  4 N 2.22



The following is a DFT calculation (PBE) of an optimized crystal structure of DyPaNi.

ΔE to the lowest computed polymorph ... 70.4 meV/atom
Uncorrected energy ... -6.751 eV/atom

Lattice parameters (Å, degrees): 3.4773 3.4773 6.1183 106.51 106.51 90.00
With the nearest neighbours (Å) after each atom.
Sites, in units of the cell vectors:
Ni  0.6957  0.6957  0.3913  4 Pa 2.71
Pa  0.2969  0.2969  0.5938  4 Ni 2.71
Dy  0.0074  0.0074  0.0149  5 Ni 3.24-3.49, 5 Pa 3.24-3.41, 4 Dy 3.48



The following is a DFT calculation (PBE) of an optimized crystal structure of Cr3C.

ΔE to the lowest computed polymorph ... 434.2 meV/atom
Uncorrected energy ... -9.183 eV/atom

Lattice parameters (Å, degrees): 2.4850 2.4850 6.5258 90.00 90.00 90.00
With the nearest neighbours (Å) after each atom.
Sites, in units of the cell vectors:
Cr  0.5000  0.5000  0.8201  4 C 2.11, 1 Cr 2.35
Cr  0.5000  0.5000  0.1799  4 C 2.11, 1 Cr 2.35
Cr  0.0000  0.0000  0.5000  12 Cr 2.48-2.73
C  0.0000  0.0000  0.0000  8 Cr 2.11



The following is a DFT calculation (PBE) of an optimized crystal structure of Pm7Tm12Pu.

Uncorrected energy ... -4.806 eV/atom

Lattice parameters (Å, degrees): 8.6470 8.6473 8.6466 89.14 89.15 89.14
With the nearest neighbours (Å) after each atom.
Sites, in units of the cell vectors:
Tm  0.6546  0.1093  0.9951  1 Pu 3.12, 3 Pm 3.24-3.40, 1 Tm 3.30
Tm  0.5575  0.8842  0.6552  4 Pm 3.47-3.77, 5 Tm 3.47-3.66
Tm  0.8908  0.0049  0.3454  1 Pu 3.12, 3 Pm 3.24-3.40, 1 Tm 3.30
Tm  0.3454  0.8907  0.0049  1 Pu 3.12, 3 Pm 3.24-3.40, 1 Tm 3.30
Tm  0.9951  0.6546  0.1093  1 Pu 3.12, 3 Pm 3.24-3.40, 1 Tm 3.30
Tm  0.8842  0.6552  0.5575  4 Pm 3.47-3.77, 5 Tm 3.47-3.66
Tm  0.6553  0.5576  0.8842  4 Pm 3.47-3.77, 5 Tm 3.47-3.66
Tm  0.1158  0.3448  0.4425  4 Pm 3.47-3.77, 5 Tm 3.47-3.66
Tm  0.3447  0.4424  0.1158  4 Pm 3.47-3.77, 5 Tm 3.47-3.66
Tm  0.4425  0.1158  0.3448  4 Pm 3.47-3.77, 5 Tm 3.47-3.66
Tm  0.1092  0.9951  0.6546  1 Pu 3.12, 3 Pm 3.24-3.40, 1 Tm 3.30
Tm  0.0049  0.3454  0.8907  1 Pu 3.12, 3 Pm 3.24-3.40, 1 Tm 3.30
Pm  0.3669  0.2299  0.7793  6 Tm 3.24-3.56, 1 Pm 3.53
Pm  0.6331  0.7701  0.2207  6 Tm 3.24-3.56, 1 Pm 3.53
Pm  0.2300  0.7793  0.3669  6 Tm 3.24-3.56, 1 Pm 3.53
Pm  0.7700  0.2207  0.6331  6 Tm 3.24-3.56, 1 Pm 3.53
Pm  0.7792  0.3669  0.2300  6 Tm 3.24-3.56, 1 Pm 3.53
Pm  0.2208  0.6331  0.7700  6 Tm 3.24-3.56, 1 Pm 3.53
Pm  0.5000  0.5000  0.5000  6 Pm 3.53, 6 Tm 3.65
Pu  0.0000  0.0000  0.0000  6 Tm 3.12



The following is a DFT calculation (PBE) of an optimized crystal structure of CsZnAu.

ΔE to the lowest computed polymorph ... 131.5 meV/atom
Uncorrected energy ... -1.893 eV/atom

Lattice parameters (Å, degrees): 3.7734 3.7734 6.9081 105.85 105.85 90.00
With the nearest neighbours (Å) after each atom.
Sites, in units of the cell vectors:
Cs  0.0030  0.0030  0.0060  1 Zn 3.43, 1 Au 3.55, 4 Cs 3.77
Au  0.7245  0.7245  0.4490  4 Zn 2.74
Zn  0.2725  0.2725  0.5450  4 Au 2.74



The following is a DFT calculation (PBE) of an optimized crystal structure of HoScZn3.

Uncorrected energy ... -3.248 eV/atom

Lattice parameters (Å, degrees): 4.3668 5.4438 8.7952 102.45 104.37 90.00
With the nearest neighbours (Å) after each atom.
Sites, in units of the cell vectors:
Zn  0.6461  0.8530  0.2923  4 Zn 2.68-2.69, 3 Sc 2.82-3.00, 2 Ho 2.98-3.00
Zn  0.8252  0.8518  0.6505  3 Zn 2.64-2.69, 4 Sc 2.81-2.86
Zn  0.3539  0.1470  0.7077  4 Zn 2.68-2.69, 3 Sc 2.82-3.00, 2 Ho 2.98-3.00
Zn  0.1748  0.1482  0.3495  3 Zn 2.64-2.69, 4 Sc 2.81-2.86
Zn  0.0529  0.7512  0.1058  4 Zn 2.64-2.92
Zn  0.9471  0.2488  0.8942  4 Zn 2.64-2.92
Ho  0.5721  0.3032  0.1442  6 Zn 2.98-3.03
Ho  0.4279  0.6968  0.8558  6 Zn 2.98-3.03
Sc  0.7769  0.3232  0.5537  8 Zn 2.81-3.02
Sc  0.2231  0.6768  0.4463  8 Zn 2.81-3.02



Q: Which of these has the lowest uncorrected energy?
A: Cr3C